## NbVCrO6 (PBE with a Hubbard U)

Data for an optimized crystal structure of NbVCrO6.

Cell lengths 4.6616, 4.6616, 9.1393 Å; angles 90.00, 90.00, 90.00 degrees
Last column: nearest neighbours and their distance in Å.
Element x y z (fractional)
V 0.5000 0.5000 0.1685  6 O 1.95-2.01
O 0.8042 0.1958 0.4996  1 Nb 1.98, 1 Cr 2.01, 1 V 2.01
O 0.8073 0.1927 0.8304  1 V 1.95, 1 Cr 2.00, 1 Nb 2.03
O 0.2049 0.7951 0.1679  1 V 1.95, 1 Nb 2.04, 1 Cr 2.04
O 0.1958 0.8042 0.4996  1 Nb 1.98, 1 Cr 2.01, 1 V 2.01
O 0.3073 0.3073 0.3304  1 V 1.95, 1 Cr 2.00, 1 Nb 2.03
Cr 0.0000 0.0000 0.0001  6 O 2.00-2.04
Nb 0.5000 0.5000 0.8357  6 O 1.98-2.04
O 0.6927 0.6927 0.3304  1 V 1.95, 1 Cr 2.00, 1 Nb 2.03
O 0.7951 0.2049 0.1679  1 V 1.95, 1 Nb 2.04, 1 Cr 2.04
V 0.0000 0.0000 0.6685  6 O 1.95-2.01
Nb 0.0000 0.0000 0.3357  6 O 1.98-2.04
O 0.6958 0.6958 0.9996  1 Nb 1.98, 1 Cr 2.01, 1 V 2.01
O 0.7049 0.7049 0.6679  1 V 1.95, 1 Nb 2.04, 1 Cr 2.04
O 0.1927 0.8073 0.8304  1 V 1.95, 1 Cr 2.00, 1 Nb 2.03
O 0.2951 0.2951 0.6679  1 V 1.95, 1 Nb 2.04, 1 Cr 2.04
O 0.3042 0.3042 0.9996  1 Nb 1.98, 1 Cr 2.01, 1 V 2.01
Cr 0.5000 0.5000 0.5001  6 O 2.00-2.04

Computed properties:
total magnetization	8.00	μB/cell
DFT total energy	-149.051	eV/cell